Entry from the Alexandria database: a relaxed Ce2Se3O9 crystal (PBEsol).

Cell lengths 6.944, 8.327, 14.055 Å; angles 90.00, 90.00, 90.00 degrees
Site moments in Bohr magnetons follow the coordinates.
Fractional coordinates of all 56 atoms:
1 Ce 0.317 0.699 0.062  0.93
2 Ce 0.317 0.699 0.438  0.93
3 Ce 0.817 0.801 0.938  0.93
4 Ce 0.683 0.301 0.562  0.93
5 Ce 0.683 0.301 0.938  0.93
6 Ce 0.183 0.199 0.062  0.93
7 Ce 0.183 0.199 0.438  0.93
8 Ce 0.817 0.801 0.562  0.93
9 Se 0.820 0.546 0.372  0.02
10 Se 0.909 0.043 0.750  0.01
11 Se 0.680 0.046 0.128  0.02
12 Se 0.320 0.954 0.628  0.02
13 Se 0.680 0.046 0.372  0.02
14 Se 0.820 0.546 0.128  0.02
15 Se 0.180 0.454 0.628  0.02
16 Se 0.091 0.957 0.250  0.01
17 Se 0.180 0.454 0.872  0.02
18 Se 0.591 0.543 0.750  0.01
19 Se 0.320 0.954 0.872  0.02
20 Se 0.409 0.457 0.250  0.01
21 O 0.855 0.073 0.459  0.00
22 O 0.916 0.381 0.072  -0.01
23 O 0.855 0.073 0.041  0.00
24 O 0.084 0.619 0.928  -0.01
25 O 0.243 0.946 0.347  0.00
26 O 0.743 0.554 0.847  0.00
27 O 0.966 0.707 0.101  0.00
28 O 0.743 0.554 0.653  0.00
29 O 0.355 0.427 0.959  0.00
30 O 0.145 0.927 0.541  0.00
31 O 0.257 0.446 0.153  0.00
32 O 0.416 0.119 0.928  -0.01
33 O 0.966 0.707 0.399  0.00
34 O 0.243 0.946 0.153  0.00
35 O 0.534 0.207 0.101  0.00
36 O 0.034 0.293 0.899  0.00
37 O 0.584 0.881 0.072  -0.01
38 O 0.934 0.838 0.750  0.00
39 O 0.534 0.207 0.399  0.00
40 O 0.416 0.119 0.572  -0.01
41 O 0.584 0.881 0.428  -0.01
42 O 0.145 0.927 0.959  0.00
43 O 0.645 0.573 0.459  0.00
44 O 0.355 0.427 0.541  0.00
45 O 0.434 0.662 0.250  0.00
46 O 0.466 0.793 0.899  0.00
47 O 0.645 0.573 0.041  0.00
48 O 0.084 0.619 0.572  -0.01
49 O 0.566 0.338 0.750  0.00
50 O 0.916 0.381 0.428  -0.01
51 O 0.066 0.162 0.250  0.00
52 O 0.466 0.793 0.601  0.00
53 O 0.034 0.293 0.601  0.00
54 O 0.257 0.446 0.347  0.00
55 O 0.757 0.054 0.847  0.00
56 O 0.757 0.054 0.653  0.00

Properties
The uncorrected energy is -387.60 eV for the cell shown. Its density of states at the Fermi level is 65.158 states/eV per cell. Its formation energy (no corrections) is -1780 meV/atom.